[1]
Below is a relaxed structure of Ta2AgP12, with properties calculated at the PBE level.

The space group is P-1 (No. 2) and the conventional cell measures 5.9898, 6.6034 and 8.1674 Å, with angles of 80.86, 76.43 and 64.06 degrees. The distinct sites, in fractional coordinates, are Ta at (0.1904, 0.2425, 0.1794), Ag at (0.5000, 0.5000, 0.5000), P at (0.1131, 0.4451, 0.5988), P at (0.1306, 0.9489, 0.7458), P at (0.1786, 0.5725, 0.9722), P at (0.2791, 0.0926, 0.4978), P at (0.3816, 0.0753, 0.8978) and P at (0.4698, 0.6344, 0.7788).

For the formation energy, the calculation gives 0.032 eV/atom. For the total energy, the calculation gives -91.0 eV for the cell shown.

=====

[2]
Below is a relaxed structure of Sr3InGa2Ag6, with properties calculated at the PBE level.

The space group is P-3m1 (No. 164) and the conventional cell measures 6.2286, 6.2286 and 9.1270 Å, with angles of 90.00, 90.00 and 120.00 degrees. The distinct sites, in fractional coordinates, are Sr at (0.0000, 0.0000, 0.0000), Sr at (0.3333, 0.6667, 0.6199), In at (0.0000, 0.0000, 0.5000), Ga at (0.3333, 0.6667, 0.0123) and Ag at (0.1810, 0.3619, 0.2710).

For the formation energy, the calculation gives -0.157 eV/atom. For the total energy, the calculation gives -32.8 eV for the cell shown.

=====

[3]
Below is a relaxed structure of Si2HgSe, with properties calculated at the PBE level.

The space group is Cmmm (No. 65) and the conventional cell measures 3.4951, 5.8859 and 8.2370 Å, with angles of 90.00, 90.00 and 90.00 degrees. The distinct sites, in fractional coordinates, are Si at (0.0000, 0.0000, 0.2273), Hg at (0.0000, 0.5000, 0.5000) and Se at (0.0000, 0.5000, 0.0000).

For the total energy, the calculation gives -25.1 eV for the cell shown. For the uncorrected formation energy, the calculation gives 521.1 meV/atom.

=====

[4]
Below is a relaxed structure of NaCaAu2O, with properties calculated at the PBE level.

The space group is P4/mmm (No. 123) and the conventional cell measures 4.7463, 4.7463 and 6.2531 Å, with angles of 90.00, 90.00 and 90.00 degrees. The distinct sites, in fractional coordinates, are Na at (0.0000, 0.0000, 0.0000), Ca at (0.0000, 0.0000, 0.5000), Au at (0.0000, 0.5000, 0.0000) and O at (0.5000, 0.5000, 0.5000).

For the total energy, the calculation gives -11.8 eV for the cell shown. For the uncorrected formation energy, the calculation gives 596.9 meV/atom.

=====

[5]
Below is a relaxed structure of Si5P4, with properties calculated at the PBE level.

The space group is I4/mmm (No. 139) and the conventional cell measures 10.0027, 10.0027 and 3.2071 Å, with angles of 90.00, 90.00 and 90.00 degrees. The distinct sites, in fractional coordinates, are Si at (0.0000, 0.0000, 0.0000), Si at (0.1780, 0.1780, 0.5000) and P at (0.0000, 0.2406, 0.0000).

For the total energy, the calculation gives -90.3 eV for the cell shown. For the uncorrected formation energy, the calculation gives 402.0 meV/atom.